[1]
Density functional theory data (PBE-GGA) for BaAlAu after structural relaxation.

```
data_BaAlAu
_symmetry_space_group_name_H-M 'F -4 3 m'
_symmetry_Int_Tables_number 216
_symmetry_space_group_name_Hall 'F -4 2 3'
_cell_length_a 7.5571
_cell_length_b 7.5571
_cell_length_c 7.5571
_cell_angle_alpha 90.00
_cell_angle_beta 90.00
_cell_angle_gamma 90.00
loop_
_atom_site_label
_atom_site_fract_x
_atom_site_fract_y
_atom_site_fract_z
Ba1 0.0000 0.0000 0.0000
Al1 0.2500 0.2500 0.7500
Au1 0.2500 0.2500 0.2500
```

## Properties
DFT total energy (eV/atom): -2.705

---

[2]
Density functional theory data (PBE-GGA) for GdHo2Al3CuGe2 after structural relaxation.

```
data_GdHo2Al3CuGe2
_symmetry_space_group_name_H-M 'A m m 2'
_symmetry_Int_Tables_number 38
_cell_length_a 4.1831
_cell_length_b 12.1341
_cell_length_c 6.9950
_cell_angle_alpha 90.00
_cell_angle_beta 90.00
_cell_angle_gamma 90.00
loop_
_symmetry_equiv_pos_as_xyz
'x,y,z'
'-x,-y,z'
'-x,y,z'
'x,-y,z'
'x,y+1/2,z+1/2'
'-x,-y+1/2,z+1/2'
'-x,y+1/2,z+1/2'
'x,-y+1/2,z+1/2'
loop_
_atom_site_label
_atom_site_fract_x
_atom_site_fract_y
_atom_site_fract_z
Gd1 0.0000 0.0000 0.0000
Ho1 0.0000 0.2015 0.3955
Al1 0.5000 0.0000 0.3650
Al2 0.5000 0.1164 0.7119
Cu1 0.0000 0.0000 0.5943
Ge1 0.5000 0.1680 0.0973
```

## Properties
DFT total energy (eV/atom): -4.884

---

[3]
Density functional theory data (PBE-GGA) for TbSbNO after structural relaxation.

```
data_TbSbNO
_symmetry_space_group_name_H-M 'P 4/n m m'
_symmetry_Int_Tables_number 129
_cell_length_a 4.4700
_cell_length_b 4.4700
_cell_length_c 7.3744
_cell_angle_alpha 90.00
_cell_angle_beta 90.00
_cell_angle_gamma 90.00
loop_
_symmetry_equiv_pos_as_xyz
'x,y,z'
'-x,-y,-z'
'-y+1/2,x,z'
'y+1/2,-x,-z'
'-x+1/2,-y+1/2,z'
'x+1/2,y+1/2,-z'
'y,-x+1/2,z'
'-y,x+1/2,-z'
'x+1/2,-y,-z'
'-x+1/2,y,z'
'-y,-x,-z'
'y,x,z'
'-x,y+1/2,-z'
'x,-y+1/2,z'
'y+1/2,x+1/2,-z'
'-y+1/2,-x+1/2,z'
loop_
_atom_site_label
_atom_site_fract_x
_atom_site_fract_y
_atom_site_fract_z
Tb1 0.2500 0.2500 0.1129
Sb1 0.2500 0.7500 0.5000
N1 0.2500 0.2500 0.4196
O1 0.2500 0.7500 0.0000
```

## Properties
Energy relative to the lowest polymorph listed for this composition (meV/atom): 239
DFT total energy (eV/atom): -6.658

---

[4]
Density functional theory data (PBE-GGA) for SnOsPd2 after structural relaxation.

```
data_SnOsPd2
_symmetry_space_group_name_H-M 'F -4 3 m'
_symmetry_Int_Tables_number 216
_symmetry_space_group_name_Hall 'F -4 2 3'
_cell_length_a 6.3787
_cell_length_b 6.3787
_cell_length_c 6.3787
_cell_angle_alpha 90.00
_cell_angle_beta 90.00
_cell_angle_gamma 90.00
loop_
_atom_site_label
_atom_site_fract_x
_atom_site_fract_y
_atom_site_fract_z
Sn1 0.0000 0.0000 0.0000
Os1 0.2500 0.2500 0.2500
Pd1 0.0000 0.0000 0.5000
Pd2 0.2500 0.2500 0.7500
```

## Properties
DFT total energy (eV/atom): -6.295